BaYTa2 | GGA-PBEsol | relaxed

Computed properties:
* SG: Cmmm (65)
* formation enthalpy at 0 K: 0.963 eV/atom

Unit cell a=6.0395 b=6.0395 c=3.0004 alpha=90.00 beta=90.00 gamma=119.88
Last column: nearest neighbours and their distance in Å.
Fractional positions:
Ba 0.0000 0.0000 0.0000  2 Ba 3.00, 2 Y 3.03
Y 0.5000 0.5000 0.0000  2 Y 3.00, 2 Ba 3.03
Ta 0.0000 0.5000 0.5000  4 Ta 3.00-3.03
Ta 0.5000 0.0000 0.5000  4 Ta 3.00-3.03